DFT (PBE) results for a relaxed CoTc2Sb crystal.

a b c (Å): 8.6056 8.6056 8.6056
angles (deg): 19.53 19.53 19.53
Fractional positions:
Co1 0.0000 0.0000 0.0000
Tc1 0.2529 0.2529 0.2529
Tc2 0.5055 0.5055 0.5055
Sb1 0.7468 0.7468 0.7468

Summary:
space-group type	R3m
crystal system	trigonal

DFT (PBE) results for a relaxed CoTc2Sb crystal.

a b c (Å): 3.1095 3.1095 6.2327
angles (deg): 90.00 90.00 90.00
Fractional positions:
Co1 0.0000 0.0000 0.0000
Tc1 0.5000 0.5000 0.2299
Tc2 0.5000 0.5000 0.7701
Sb1 0.0000 0.0000 0.5000

Summary:
space-group type	P4/mmm
crystal system	tetragonal

DFT (PBE) results for a relaxed CoTc2Sb crystal.

a b c (Å): 4.7118 4.7118 4.6280
angles (deg): 100.67 100.67 37.26
Fractional positions:
Co1 0.0000 0.0000 0.0000
Tc1 0.2550 0.2550 0.7298
Tc2 0.5140 0.5140 0.5485
Sb1 0.7523 0.7523 0.2230

Summary:
space-group type	Cm
crystal system	monoclinic

DFT (PBE) results for a relaxed Co2TcSb crystal.

a b c (Å): 4.3100 4.3100 4.3100
angles (deg): 60.00 60.00 60.00
Fractional positions:
Co1 0.0000 0.0000 0.0000
Co2 0.2500 0.2500 0.2500
Tc1 0.7500 0.7500 0.7500
Sb1 0.5000 0.5000 0.5000

Summary:
space-group type	F-43m
crystal system	cubic

Across the entries above, energy relative to the elements, uncorrected takes the values 0.392 0.327 0.252 0.203 eV/atom, respectively.